1.
DFT (GGA-PBE) results for HoBN2 after structural relaxation.

Lattice parameters (Å, degrees): 4.812 5.233 7.437 90.00 90.00 90.00
Element x y z (fractional)
1 Ho 0.250 0.246 0.465
2 Ho 0.250 0.254 0.965
3 Ho 0.750 0.754 0.535
4 Ho 0.750 0.746 0.035
5 B 0.250 0.668 0.759
6 B 0.250 0.832 0.259
7 B 0.750 0.332 0.241
8 B 0.750 0.168 0.741
9 N 0.250 0.836 0.601
10 N 0.250 0.664 0.101
11 N 0.750 0.164 0.399
12 N 0.750 0.336 0.899
13 N 0.250 0.693 0.429
14 N 0.250 0.807 0.929
15 N 0.750 0.307 0.571
16 N 0.750 0.193 0.071

Values from the calculation:
Its total magnetic moment is 0.00 μB per formula unit. The value obtained for the total energy is -120.00 eV for the cell shown. As for the formation energy (no corrections): -50.5 kJ per mole of atoms. The density of states at the Fermi level comes out at 7.0 states/eV/cell.

***

2.
DFT (GGA-PBE) results for HoBN2 after structural relaxation.

Lattice parameters (Å, degrees): 3.610 3.610 5.414 70.52 70.52 60.00
Element x y z (fractional)
1 B 0.000 0.000 0.000
2 Ho 0.500 0.500 0.500
3 N 0.089 0.089 0.732
4 N 0.911 0.911 0.268

Values from the calculation:
Its total magnetic moment is 0.00 μB per formula unit. The value obtained for the total energy is -33.50 eV for the cell shown. As for the formation energy (no corrections): -135.0 kJ per mole of atoms. The density of states at the Fermi level comes out at 0.0 states/eV/cell.

***

3.
DFT (GGA-PBE) results for HoB3N3 after structural relaxation.

Lattice parameters (Å, degrees): 4.792 4.792 4.792 90.00 90.00 90.00
Element x y z (fractional)
1 Ho 0.500 0.500 0.500
2 Ho 0.000 0.000 0.000
3 B 0.250 0.000 0.500
4 B 0.000 0.500 0.250
5 B 0.500 0.750 0.000
6 B 0.750 0.000 0.500
7 B 0.000 0.500 0.750
8 B 0.500 0.250 0.000
9 N 0.000 0.250 0.500
10 N 0.000 0.750 0.500
11 N 0.500 0.000 0.750
12 N 0.750 0.500 0.000
13 N 0.500 0.000 0.250
14 N 0.250 0.500 0.000

Values from the calculation:
Its total magnetic moment is 0.00 μB per formula unit. The value obtained for the total energy is -95.87 eV for the cell shown. As for the formation energy (no corrections): 22.8 kJ per mole of atoms. The density of states at the Fermi level comes out at 5.3 states/eV/cell.